VASP calculation (PBE) on an optimized crystal structure of LiMg2Cd4.

Its energy above the most stable polymorph in this dataset is 173 meV per atom. The value obtained for the formation enthalpy at 0 K is 0.078 eV/atom. For the density of states at the Fermi level, the calculation gives 2.5 states/eV per cell.

a = 6.799 Å, b = 6.799 Å, c = 5.084 Å
α = 90.00°, β = 90.00°, γ = 129.81°
Positions (direct):
Li (0.000, 0.000, 0.000)
Mg (0.370, 0.630, 0.500)
Mg (0.630, 0.370, 0.500)
Cd (0.117, 0.883, 0.500)
Cd (0.238, 0.762, 0.000)
Cd (0.762, 0.238, 0.000)
Cd (0.883, 0.117, 0.500)